The following is a PBE calculation of a geometry-optimized In2PRh structure, from the Alexandria database.

Unit cell a=6.4579 b=6.4579 c=6.4579 alpha=152.89 beta=138.59 gamma=50.20
Sites, in units of the cell vectors:
In  0.9557  0.9557  0.0000
In  0.2531  0.7531  0.5000
P  0.5672  0.5672  0.0000
Rh  0.7241  0.2241  0.5000

**Energy of formation**: -0.150 eV/atom

The following is a PBE calculation of a geometry-optimized RbCe2HgSe5 structure, from the Alexandria database.

Unit cell a=8.2074 b=8.2074 c=9.7132 alpha=114.99 beta=114.99 gamma=90.00
Each line ends with the local moment (μB).
Sites, in units of the cell vectors:
Rb  0.2500  0.2500  0.5000  0.00
Rb  0.7500  0.7500  0.5000  0.00
Ce  0.1600  0.3400  0.0000  0.58
Ce  0.6600  0.1600  0.0000  0.58
Ce  0.3400  0.8400  0.0000  0.58
Ce  0.8400  0.6600  0.0000  0.58
Hg  0.2500  0.7500  0.5000  0.01
Hg  0.7500  0.2500  0.5000  0.01
Se  0.9706  0.4706  0.2348  -0.03
Se  0.7358  0.2358  0.7652  -0.03
Se  0.0294  0.5294  0.7652  -0.03
Se  0.2358  0.0294  0.7652  -0.03
Se  0.5294  0.7358  0.7652  -0.03
Se  0.7642  0.9706  0.2348  -0.03
Se  0.4706  0.2642  0.2348  -0.03
Se  0.2642  0.7642  0.2348  -0.03
Se  0.5000  0.5000  0.0000  -0.06
Se  0.0000  0.0000  0.0000  -0.06

**Formation energy without anion corrections**: -1283 meV/atom

The following is a PBE calculation of a geometry-optimized Ti2Be3 structure, from the Alexandria database.

Unit cell a=2.9004 b=3.6945 c=11.3356 alpha=90.00 beta=97.35 gamma=90.00
Each line ends with the local moment (μB).
Sites, in units of the cell vectors:
Ti  0.2878  0.7500  0.5756  0.36
Ti  0.7122  0.2500  0.4244  0.36
Ti  0.5719  0.7500  0.1438  0.03
Ti  0.4281  0.2500  0.8562  0.03
Be  0.1684  0.7500  0.3367  0.00
Be  0.8316  0.2500  0.6633  0.00
Be  0.8816  0.7500  0.7633  0.00
Be  0.1184  0.2500  0.2367  0.00
Be  0.0234  0.2500  0.0469  0.00
Be  0.9766  0.7500  0.9531  0.00

**Energy above the lowest structure with this stoichiometry**: 10.0 meV/atom
**Energy of formation**: -0.115 eV/atom

The following is a PBE calculation of a geometry-optimized PuZr12Al3 structure, from the Alexandria database.

Unit cell a=4.4053 b=4.4053 c=17.8487 alpha=90.00 beta=90.00 gamma=90.00
Each line ends with the local moment (μB).
Sites, in units of the cell vectors:
Pu  0.0000  0.0000  0.0000  5.10
Zr  0.5000  0.5000  0.0000  -0.03
Zr  0.5000  0.5000  0.2548  -0.01
Zr  0.5000  0.5000  0.5000  -0.01
Zr  0.5000  0.5000  0.7452  -0.01
Zr  0.5000  0.0000  0.1315  -0.04
Zr  0.5000  0.0000  0.3783  0.02
Zr  0.5000  0.0000  0.6217  0.02
Zr  0.5000  0.0000  0.8685  -0.04
Zr  0.0000  0.5000  0.1315  -0.04
Zr  0.0000  0.5000  0.3783  0.02
Zr  0.0000  0.5000  0.6217  0.02
Zr  0.0000  0.5000  0.8685  -0.04
Al  0.0000  0.0000  0.2539  0.00
Al  0.0000  0.0000  0.5000  0.00
Al  0.0000  0.0000  0.7461  0.00

**Energy of formation**: -0.194 eV/atom

The following is a PBE calculation of a geometry-optimized LaSmGe structure, from the Alexandria database.

Unit cell a=4.0310 b=4.0310 c=5.7228 alpha=110.62 beta=110.62 gamma=90.00
Sites, in units of the cell vectors:
Ge  0.9430  0.9430  0.8860
Sm  0.3056  0.3056  0.6112
La  0.6014  0.6014  0.2028

**Energy above the lowest structure with this stoichiometry**: 123.3 meV/atom
**Energy of formation**: -0.475 eV/atom

The following is a PBE calculation of a geometry-optimized Li2CdSbSe4 structure, from the Alexandria database.

Unit cell a=7.9697 b=7.9697 c=7.9761 alpha=120.02 beta=120.02 gamma=90.64
Sites, in units of the cell vectors:
Li  0.5000  0.0000  0.0000
Li  0.5000  0.0000  0.5000
Li  0.0000  0.0000  0.5000
Li  0.5000  0.5000  0.0000
Cd  0.0000  0.5000  0.0000
Cd  0.0000  0.5000  0.5000
Sb  0.5000  0.5000  0.5000
Sb  0.0000  0.0000  0.0000
Se  0.2479  0.7556  0.0015
Se  0.7444  0.2521  0.4985
Se  0.2556  0.7479  0.5015
Se  0.7521  0.2444  0.9985
Se  0.7417  0.7583  0.0039
Se  0.7417  0.7583  0.4961
Se  0.2583  0.2417  0.5039
Se  0.2583  0.2417  0.9961

**Formation energy without anion corrections**: -639 meV/atom